1.
Entry from the Alexandria database: a relaxed Fe3IN crystal (PBE).

POSCAR file:
```
Fe3IN
1.0
4.774 0.000 0.000
0.000 4.774 0.000
0.000 0.000 4.774
Fe I N
3 1 1
Direct
0.000 0.000 0.500 Fe
0.000 0.500 0.000 Fe
0.500 0.000 0.000 Fe
0.000 0.000 0.000 I
0.500 0.500 0.500 N
```

Properties
Excess energy over the best structure of this formula in the dataset = 1.893 eV/atom
Fermi-level density of states = 0.89 states/eV/atom
Raw formation energy = 2404 meV/atom

=====

2.
Entry from the Alexandria database: a relaxed HfZr2Co2 crystal (PBE).

POSCAR file:
```
HfZr2Co2
1.0
7.702 0.000 0.000
0.000 7.702 0.000
0.000 0.000 2.933
Hf Zr Co
2 4 4
Direct
0.000 0.000 0.000 Hf
0.500 0.500 0.000 Hf
0.146 0.354 0.000 Zr
0.354 0.854 0.000 Zr
0.646 0.146 0.000 Zr
0.854 0.646 0.000 Zr
0.153 0.653 0.500 Co
0.347 0.153 0.500 Co
0.653 0.847 0.500 Co
0.847 0.347 0.500 Co
```

Properties
Excess energy over the best structure of this formula in the dataset = 0.267 eV/atom
Fermi-level density of states = 1.35 states/eV/atom
ΔH_f (0 K) = 23 meV per atom

=====

3.
Entry from the Alexandria database: a relaxed MgCr2Tc crystal (PBE).

POSCAR file:
```
MgCr2Tc
1.0
-1.475 2.187 4.270
1.475 -2.187 4.270
1.475 2.187 -4.270
Mg Cr Tc
1 2 1
Direct
0.000 0.000 0.000 Mg
0.268 0.768 0.500 Cr
0.486 0.486 0.000 Cr
0.728 0.228 0.500 Tc
```

Properties
Fermi-level density of states = 0.91 states/eV/atom
ΔH_f (0 K) = 269 meV per atom

=====

4.
Entry from the Alexandria database: a relaxed Ag2Hg2Pt crystal (PBE).

POSCAR file:
```
Ag2Hg2Pt
1.0
7.184 0.000 0.000
0.000 7.184 0.000
0.000 0.000 3.911
Ag Hg Pt
4 4 2
Direct
0.137 0.363 0.000 Ag
0.363 0.863 0.000 Ag
0.637 0.137 0.000 Ag
0.863 0.637 0.000 Ag
0.167 0.667 0.500 Hg
0.333 0.167 0.500 Hg
0.667 0.833 0.500 Hg
0.833 0.333 0.500 Hg
0.000 0.000 0.000 Pt
0.500 0.500 0.000 Pt
```

Properties
Excess energy over the best structure of this formula in the dataset = 0.031 eV/atom
Fermi-level density of states = 0.32 states/eV/atom
ΔH_f (0 K) = 263 meV per atom